Record 1
The following is a DFT calculation (PBE) of a geometry-optimized Tm2Pu2Tl3 structure.

Computed properties:
ΔE_f = -0.55 eV/f.u.

a b c (Å): 4.7014 23.2295 3.3863
angles (deg): 90.00 90.00 90.00
Space group Cmmm (No. 65)
Asymmetric unit:
Tm 0.0000 0.0729 0.0000 (multiplicity 4)
Pu 0.0000 0.2127 0.0000 (multiplicity 4)
Tl 0.0000 0.3539 0.5000 (multiplicity 4)
Tl 0.0000 0.5000 0.5000 (multiplicity 2)

---

Record 2
The following is a DFT calculation (PBE) of a geometry-optimized Nd2HoBi structure.

Computed properties:
ΔE_f = -1.55 eV/f.u.

a b c (Å): 4.3212 4.3212 6.8643
angles (deg): 90.00 90.00 90.00
Space group P4/mmm (No. 123)
Asymmetric unit:
Nd 0.0000 0.0000 0.2380 (multiplicity 2)
Ho 0.5000 0.5000 0.5000 (multiplicity 1)
Bi 0.5000 0.5000 0.0000 (multiplicity 1)

---

Record 3
The following is a DFT calculation (PBE) of a geometry-optimized Ac2TcH8 structure.

Computed properties:
total energy = -4.45 eV/atom

a b c (Å): 15.1014 3.7613 4.5087
angles (deg): 90.00 106.64 90.00
Space group C2/m (No. 12)
Asymmetric unit:
Ac 0.1408 0.0000 0.1362 (multiplicity 4)
Tc 0.0000 0.5000 0.5000 (multiplicity 2)
H 0.0028 0.0000 0.6793 (multiplicity 4)
H 0.0586 0.5000 0.2216 (multiplicity 4)
H 0.1182 0.5000 0.7347 (multiplicity 4)
H 0.2421 0.0000 0.7370 (multiplicity 4)

---

Record 4
The following is a DFT calculation (PBE) of a geometry-optimized PrDy8Er2 structure.

Computed properties:
ΔE_f = 1.60 eV/f.u.

a b c (Å): 19.1609 6.9193 5.5184
angles (deg): 90.00 92.91 90.00
Space group C2/m (No. 12)
Asymmetric unit:
Pr 0.0000 0.0000 0.0000 (multiplicity 2)
Dy 0.0470 0.5000 0.2381 (multiplicity 4)
Dy 0.1343 0.2668 0.7320 (multiplicity 8)
Dy 0.1890 0.0000 0.2334 (multiplicity 4)
Er 0.2155 0.5000 0.2506 (multiplicity 4)

---

Record 5
The following is a DFT calculation (PBE) of a geometry-optimized TbNiAg structure.

Computed properties:
ΔE_f = -0.58 eV/f.u.

a b c (Å): 3.5193 3.5193 9.3152
angles (deg): 90.00 90.00 90.00
Space group I4mm (No. 107)
Asymmetric unit:
Tb 0.0000 0.0000 0.0000 (multiplicity 2)
Ni 0.0000 0.0000 0.3452 (multiplicity 2)
Ag 0.0000 0.0000 0.6902 (multiplicity 2)

---

Record 6
The following is a DFT calculation (PBE) of a geometry-optimized Nd6Dy8Tm structure.

Computed properties:
ΔE_f = 2.64 eV/f.u.

a b c (Å): 9.3954 9.3954 6.5445
angles (deg): 90.00 90.00 120.00
Space group P-3 (No. 147)
Asymmetric unit:
Nd 0.0340 0.2866 0.1662 (multiplicity 6)
Dy 0.0938 0.4380 0.6577 (multiplicity 6)
Dy 0.3333 0.6667 0.1206 (multiplicity 2)
Tm 0.0000 0.0000 0.5000 (multiplicity 1)

---

no.,calculated volume (Å³/cell)
1,370
2,128
3,245
4,731
5,115
6,500